Material: Tl3Cr2SnF9
Method: DFT, PBE+U
State: optimized geometry

## Properties
ρ   6.5 g cm⁻³
Total energy   -0.3668 Ry/atom
DOS at the Fermi energy   3.06 states/eV/f.u.

a = 6.2044 Å, b = 6.2044 Å, c = 7.7487 Å
α = 90.00°, β = 90.00°, γ = 120.00°
Last column: nearest neighbours and their distance in Å.
Space group P-3m1 (No. 164)
One atom of each set of equivalent atoms:
Tl 0.0000 0.0000 0.0000 [1 per cell]  12 F 3.06-3.10
Tl 0.3333 0.6667 0.6826 [2 per cell]  12 F 3.04-3.35
Cr 0.3333 0.6667 0.1516 [2 per cell]  6 F 2.10-2.14
Sn 0.0000 0.0000 0.5000 [1 per cell]  6 F 2.38
F 0.0000 0.5000 0.0000 [3 per cell]  2 Cr 2.14
F 0.1747 0.3495 0.3110 [6 per cell]  1 Cr 2.10